No. 1
The following is a DFT calculation (PBEsol) of a relaxed CsH4NF2 crystal.

Output
Calculated total energy: -4.73 eV/atom
Magnetic moment: 0.00 μB per formula unit

Geometry as CIF:
```
data_CsH4NF2
_symmetry_space_group_name_H-M 'P n m a'
_symmetry_Int_Tables_number 62
_symmetry_space_group_name_Hall '-P 2ac 2n'
_cell_length_a 7.293
_cell_length_b 4.099
_cell_length_c 13.591
_cell_angle_alpha 90.00
_cell_angle_beta 90.00
_cell_angle_gamma 90.00
loop_
_atom_site_label
_atom_site_type_symbol
_atom_site_fract_x
_atom_site_fract_y
_atom_site_fract_z
Cs1 Cs 0.129 0.250 0.142
H1 H 0.040 0.750 0.355
H2 H 0.199 0.538 0.430
H3 H 0.235 0.250 0.826
N1 N 0.172 0.750 0.387
F1 F 0.113 0.250 0.733
F2 F 0.221 0.750 0.993
```

=====

No. 2
The following is a DFT calculation (PBEsol) of a relaxed CaSbSe2N crystal.

Output
Calculated total energy: -4.74 eV/atom
Magnetic moment: 0.23 μB per formula unit

Geometry as CIF:
```
data_CaSbSe2N
_symmetry_space_group_name_H-M 'P 4/m m m'
_symmetry_Int_Tables_number 123
_symmetry_space_group_name_Hall '-P 4 2'
_cell_length_a 5.328
_cell_length_b 5.328
_cell_length_c 3.970
_cell_angle_alpha 90.00
_cell_angle_beta 90.00
_cell_angle_gamma 90.00
loop_
_atom_site_label
_atom_site_type_symbol
_atom_site_fract_x
_atom_site_fract_y
_atom_site_fract_z
Ca1 Ca 0.000 0.000 0.000
Sb1 Sb 0.500 0.500 0.500
Se1 Se 0.000 0.500 0.500
N1 N 0.500 0.500 0.000
```

=====

No. 3
The following is a DFT calculation (PBEsol) of a relaxed NaAl2Ag2 crystal.

Output
Calculated total energy: -3.35 eV/atom
Magnetic moment: 0.00 μB per formula unit
DFT formation energy: -0.105 eV/atom

Geometry as CIF:
```
data_NaAl2Ag2
_symmetry_space_group_name_H-M 'P 4/m b m'
_symmetry_Int_Tables_number 127
_symmetry_space_group_name_Hall '-P 4 2ab'
_cell_length_a 8.008
_cell_length_b 8.008
_cell_length_c 2.775
_cell_angle_alpha 90.00
_cell_angle_beta 90.00
_cell_angle_gamma 90.00
loop_
_atom_site_label
_atom_site_type_symbol
_atom_site_fract_x
_atom_site_fract_y
_atom_site_fract_z
Na1 Na 0.000 0.000 0.000
Al1 Al 0.125 0.375 0.000
Ag1 Ag 0.172 0.672 0.500
```

=====

No. 4
The following is a DFT calculation (PBEsol) of a relaxed BaLaTe4 crystal.

Output
Calculated total energy: -4.04 eV/atom
Magnetic moment: 0.44 μB per formula unit

Geometry as CIF:
```
data_BaLaTe4
_symmetry_space_group_name_H-M 'F -4 3 m'
_symmetry_Int_Tables_number 216
_symmetry_space_group_name_Hall 'F -4 2 3'
_cell_length_a 9.152
_cell_length_b 9.152
_cell_length_c 9.152
_cell_angle_alpha 90.00
_cell_angle_beta 90.00
_cell_angle_gamma 90.00
loop_
_atom_site_label
_atom_site_type_symbol
_atom_site_fract_x
_atom_site_fract_y
_atom_site_fract_z
Ba1 Ba 0.000 0.000 0.000
La1 La 0.250 0.250 0.250
Te1 Te 0.125 0.125 0.625
```

=====

No. 5
The following is a DFT calculation (PBEsol) of a relaxed LaSc2Hg crystal.

Output
Calculated total energy: -5.00 eV/atom
Magnetic moment: 0.93 μB per formula unit
DFT formation energy: -0.217 eV/atom

Geometry as CIF:
```
data_LaSc2Hg
_symmetry_space_group_name_H-M 'P 4 m m'
_symmetry_Int_Tables_number 99
_symmetry_space_group_name_Hall 'P 4 -2'
_cell_length_a 3.437
_cell_length_b 3.437
_cell_length_c 8.597
_cell_angle_alpha 90.00
_cell_angle_beta 90.00
_cell_angle_gamma 90.00
loop_
_atom_site_label
_atom_site_type_symbol
_atom_site_fract_x
_atom_site_fract_y
_atom_site_fract_z
La1 La 0.000 0.000 0.000
Sc1 Sc 0.000 0.000 0.536
Sc2 Sc 0.500 0.500 0.301
Hg1 Hg 0.500 0.500 0.730
```

=====

No. 6
The following is a DFT calculation (PBEsol) of a relaxed LaCdSn3 crystal.

Output
Calculated total energy: -3.09 eV/atom
Magnetic moment: 0.00 μB per formula unit
DFT formation energy: 0.771 eV/atom

Geometry as CIF:
```
data_LaCdSn3
_symmetry_space_group_name_H-M 'P m -3 m'
_symmetry_Int_Tables_number 221
_symmetry_space_group_name_Hall '-P 4 2 3'
_cell_length_a 5.935
_cell_length_b 5.935
_cell_length_c 5.935
_cell_angle_alpha 90.00
_cell_angle_beta 90.00
_cell_angle_gamma 90.00
loop_
_atom_site_label
_atom_site_type_symbol
_atom_site_fract_x
_atom_site_fract_y
_atom_site_fract_z
La1 La 0.000 0.000 0.000
Cd1 Cd 0.500 0.500 0.500
Sn1 Sn 0.000 0.000 0.500
```

=====

No. 7
The following is a DFT calculation (PBEsol) of a relaxed LaCrIr2 crystal.

Output
Calculated total energy: -8.69 eV/atom
Magnetic moment: 3.59 μB per formula unit
DFT formation energy: 0.120 eV/atom

Geometry as CIF:
```
data_LaCrIr2
_symmetry_space_group_name_H-M 'I 4/m m m'
_symmetry_Int_Tables_number 139
_symmetry_space_group_name_Hall '-I 4 2'
_cell_length_a 4.280
_cell_length_b 4.280
_cell_length_c 7.631
_cell_angle_alpha 90.00
_cell_angle_beta 90.00
_cell_angle_gamma 90.00
loop_
_atom_site_label
_atom_site_type_symbol
_atom_site_fract_x
_atom_site_fract_y
_atom_site_fract_z
La1 La 0.000 0.000 0.000
Cr1 Cr 0.000 0.000 0.500
Ir1 Ir 0.000 0.500 0.250
```

=====

No. 8
The following is a DFT calculation (PBEsol) of a relaxed BeOs2Rh2 crystal.

Output
Calculated total energy: -8.26 eV/atom
Magnetic moment: 0.00 μB per formula unit
DFT formation energy: 0.681 eV/atom

Geometry as CIF:
```
data_BeOs2Rh2
_symmetry_space_group_name_H-M 'I 4/m m m'
_symmetry_Int_Tables_number 139
_symmetry_space_group_name_Hall '-I 4 2'
_cell_length_a 3.463
_cell_length_b 3.463
_cell_length_c 12.651
_cell_angle_alpha 90.00
_cell_angle_beta 90.00
_cell_angle_gamma 90.00
loop_
_atom_site_label
_atom_site_type_symbol
_atom_site_fract_x
_atom_site_fract_y
_atom_site_fract_z
Be1 Be 0.000 0.000 0.000
Os1 Os 0.000 0.500 0.250
Rh1 Rh 0.000 0.000 0.404
```

=====

No. 9
The following is a DFT calculation (PBEsol) of a relaxed YCd2Au crystal.

Output
Calculated total energy: -3.80 eV/atom
Magnetic moment: 0.00 μB per formula unit
DFT formation energy: -0.512 eV/atom

Geometry as CIF:
```
data_YCd2Au
_symmetry_space_group_name_H-M 'I -4 m 2'
_symmetry_Int_Tables_number 119
_symmetry_space_group_name_Hall 'I -4 -2'
_cell_length_a 4.887
_cell_length_b 4.887
_cell_length_c 6.929
_cell_angle_alpha 90.00
_cell_angle_beta 90.00
_cell_angle_gamma 90.00
loop_
_atom_site_label
_atom_site_type_symbol
_atom_site_fract_x
_atom_site_fract_y
_atom_site_fract_z
Y1 Y 0.000 0.000 0.000
Cd1 Cd 0.000 0.000 0.500
Cd2 Cd 0.000 0.500 0.250
Au1 Au 0.000 0.500 0.750
```

=====

No. 10
The following is a DFT calculation (PBEsol) of a relaxed CaInBr crystal.

Output
Energy above the most stable polymorph in this dataset: 125.3 meV/atom
Calculated total energy: -2.99 eV/atom
Magnetic moment: 0.00 μB per formula unit

Geometry as CIF:
```
data_CaInBr
_symmetry_space_group_name_H-M 'P -6 m 2'
_symmetry_Int_Tables_number 187
_symmetry_space_group_name_Hall 'P -6 2'
_cell_length_a 5.0178
_cell_length_b 5.0178
_cell_length_c 4.0873
_cell_angle_alpha 90.00
_cell_angle_beta 90.00
_cell_angle_gamma 120.00
loop_
_atom_site_label
_atom_site_type_symbol
_atom_site_fract_x
_atom_site_fract_y
_atom_site_fract_z
Ca1 Ca 0.0000 0.0000 0.0000
In1 In 0.3333 0.6667 0.5000
Br1 Br 0.6667 0.3333 0.0000
```

=====

No. 11
The following is a DFT calculation (PBEsol) of a relaxed MgGa2 crystal.

Output
Calculated total energy: -2.87 eV/atom
Magnetic moment: 0.00 μB per formula unit
DFT formation energy: -0.069 eV/atom

Geometry as CIF:
```
data_MgGa2
_symmetry_space_group_name_H-M 'P -6 2 m'
_symmetry_Int_Tables_number 189
_symmetry_space_group_name_Hall 'P -6 -2'
_cell_length_a 5.1562
_cell_length_b 5.1562
_cell_length_c 4.8077
_cell_angle_alpha 90.00
_cell_angle_beta 90.00
_cell_angle_gamma 120.00
loop_
_atom_site_label
_atom_site_type_symbol
_atom_site_fract_x
_atom_site_fract_y
_atom_site_fract_z
Mg1 Mg 0.3333 0.6667 0.0000
Ga1 Ga 0.0000 0.0000 0.0000
Ga2 Ga 0.0000 0.3280 0.5000
```

=====

No. 12
The following is a DFT calculation (PBEsol) of a relaxed CoTeIr crystal.

Output
Energy above the most stable polymorph in this dataset: 0.0 meV/atom
Calculated total energy: -6.58 eV/atom
Magnetic moment: 0.00 μB per formula unit

Geometry as CIF:
```
data_CoTeIr
_symmetry_space_group_name_H-M 'P 3 m 1'
_symmetry_Int_Tables_number 156
_symmetry_space_group_name_Hall 'P 3 -2"'
_cell_length_a 4.0708
_cell_length_b 4.0708
_cell_length_c 3.2205
_cell_angle_alpha 90.00
_cell_angle_beta 90.00
_cell_angle_gamma 120.00
loop_
_atom_site_label
_atom_site_type_symbol
_atom_site_fract_x
_atom_site_fract_y
_atom_site_fract_z
Co1 Co 0.0000 0.0000 0.0000
Te1 Te 0.6667 0.3333 0.8730
Ir1 Ir 0.3333 0.6667 0.4786
```

=====

No. 13
The following is a DFT calculation (PBEsol) of a relaxed Si2AuSe crystal.

Output
Calculated total energy: -4.61 eV/atom
Magnetic moment: 0.00 μB per formula unit

Geometry as CIF:
```
data_Si2AuSe
_symmetry_space_group_name_H-M 'I m m 2'
_symmetry_Int_Tables_number 44
_symmetry_space_group_name_Hall 'I 2 -2'
_cell_length_a 3.357
_cell_length_b 3.961
_cell_length_c 10.996
_cell_angle_alpha 90.00
_cell_angle_beta 90.00
_cell_angle_gamma 90.00
loop_
_atom_site_label
_atom_site_type_symbol
_atom_site_fract_x
_atom_site_fract_y
_atom_site_fract_z
Si1 Si 0.000 0.000 0.000
Si2 Si 0.000 0.500 0.309
Au1 Au 0.000 0.500 0.848
Se1 Se 0.000 0.000 0.639
```

=====

No. 14
The following is a DFT calculation (PBEsol) of a relaxed SrTe2Br crystal.

Output
Energy above the most stable polymorph in this dataset: 222.9 meV/atom
Calculated total energy: -3.63 eV/atom
Magnetic moment: 0.00 μB per formula unit

Geometry as CIF:
```
data_SrTe2Br
_symmetry_space_group_name_H-M 'I m m 2'
_symmetry_Int_Tables_number 44
_symmetry_space_group_name_Hall 'I 2 -2'
_cell_length_a 5.046
_cell_length_b 6.361
_cell_length_c 8.147
_cell_angle_alpha 90.00
_cell_angle_beta 90.00
_cell_angle_gamma 90.00
loop_
_atom_site_label
_atom_site_type_symbol
_atom_site_fract_x
_atom_site_fract_y
_atom_site_fract_z
Sr1 Sr 0.000 0.000 0.000
Te1 Te 0.000 0.000 0.514
Te2 Te 0.000 0.500 0.174
Br1 Br 0.000 0.500 0.717
```